[1]
Here is a relaxed structure of ZnAsPd14 from Alexandria via LeMat-Bulk. Energies are from PBE.

Results
* energy relative to the elements: -0.13 eV/atom
* spin magnetization: 0.00 μB/cell
* crystal system: orthorhombic

```
ZnAsPd14
1.0
9.042 0.000 0.000
0.000 2.900 4.676
0.000 -2.900 4.676
Zn As Pd
1 1 14
Direct
0.000 0.000 0.000
0.000 0.495 0.495
0.000 0.012 0.506
0.000 0.506 0.012
0.232 0.301 0.788
0.232 0.788 0.301
0.253 0.799 0.799
0.256 0.291 0.291
0.500 0.106 0.106
0.500 0.114 0.610
0.500 0.610 0.114
0.500 0.612 0.612
0.744 0.291 0.291
0.747 0.799 0.799
0.768 0.301 0.788
0.768 0.788 0.301
```

[2]
Here is a relaxed structure of ZnAsPd2 from Alexandria via LeMat-Bulk. Energies are from PBE.

Results
* energy relative to the elements: -0.32 eV/atom
* spin magnetization: 0.00 μB/cell
* energy above the most stable polymorph in this dataset: 0.065 eV/atom
* crystal system: cubic

```
ZnAsPd2
1.0
0.000 3.134 3.134
3.134 0.000 3.134
3.134 3.134 0.000
Zn As Pd
1 1 2
Direct
0.000 0.000 0.000
0.500 0.500 0.500
0.250 0.250 0.250
0.750 0.750 0.750
```

[3]
Here is a relaxed structure of Zn3AsPd from Alexandria via LeMat-Bulk. Energies are from PBE.

Results
* energy relative to the elements: 0.31 eV/atom
* spin magnetization: 0.00 μB/cell
* energy above the most stable polymorph in this dataset: 0.000 eV/atom
* crystal system: cubic

```
Zn3AsPd
1.0
4.750 0.000 0.000
0.000 4.750 0.000
0.000 0.000 4.750
Zn As Pd
3 1 1
Direct
0.000 0.000 0.500
0.000 0.500 0.000
0.500 0.000 0.000
0.500 0.500 0.500
0.000 0.000 0.000
```

[4]
Here is a relaxed structure of ZnAsPd2 from Alexandria via LeMat-Bulk. Energies are from PBE.

Results
* energy relative to the elements: -0.36 eV/atom
* spin magnetization: 0.00 μB/cell
* energy above the most stable polymorph in this dataset: 0.030 eV/atom
* crystal system: tetragonal

```
ZnAsPd2
1.0
3.108 0.000 0.000
0.000 3.108 0.000
0.000 0.000 6.401
Zn As Pd
1 1 2
Direct
0.000 0.000 0.000
0.000 0.000 0.500
0.500 0.500 0.240
0.500 0.500 0.760
```

[5]
Here is a relaxed structure of Zn5AsPd6 from Alexandria via LeMat-Bulk. Energies are from PBE.

Results
* energy relative to the elements: -0.47 eV/atom
* spin magnetization: 0.00 μB/cell
* crystal system: monoclinic

```
Zn5AsPd6
1.0
3.872 -6.412 0.000
3.872 6.412 0.000
-2.345 0.000 3.567
Zn As Pd
5 1 6
Direct
0.000 0.000 0.000
0.165 0.835 0.500
0.325 0.675 0.000
0.675 0.325 0.000
0.835 0.165 0.500
0.500 0.500 0.500
0.089 0.419 0.254
0.254 0.254 0.754
0.419 0.089 0.254
0.581 0.911 0.746
0.746 0.746 0.246
0.911 0.581 0.746
```

[6]
Here is a relaxed structure of Zn4AsPd7 from Alexandria via LeMat-Bulk. Energies are from PBE.

Results
* energy relative to the elements: -0.29 eV/atom
* spin magnetization: 0.00 μB/cell
* crystal system: monoclinic

```
Zn4AsPd7
1.0
4.810 -2.335 0.000
4.810 2.335 0.000
-2.496 0.000 8.526
Zn As Pd
4 1 7
Direct
0.118 0.118 0.264
0.374 0.374 0.901
0.626 0.626 0.099
0.882 0.882 0.736
0.500 0.500 0.500
0.000 0.000 0.500
0.132 0.132 0.965
0.293 0.293 0.603
0.389 0.389 0.219
0.611 0.611 0.781
0.707 0.707 0.397
0.868 0.868 0.035
```

Calculated values (eV per atom) of VASP energy for the records, taken in order: -5.043, -4.400, -2.423, -4.435, -3.987, -4.135.